MnNbI2O | Alexandria via LeMat-Bulk | PBE with a Hubbard U | relaxed; density = 5.1 g/cm³; VASP energy = -5.55 eV/atom; DOS(E_F) = 3.06 states/eV/cell; space group = P4/mmm
1.0
-3.0592 -2.4491 4.3712
4.9927 -1.0594 2.9006
-0.2827 3.5087 1.7680
I Nb Mn O
2 1 1 1
direct
0.0000 0.5000 0.0000
0.5000 0.0000 0.0000
0.0000 0.0000 0.0000
0.5000 0.5000 0.5000
0.0000 0.0000 0.5000